Entry 1:
Entry from the Alexandria database: MnBeAs after structural relaxation (PBE).

Lattice parameters (Å, degrees): 5.562 5.562 5.562 90.00 90.00 90.00
Space group F-43m (No. 216)
One atom of each set of equivalent atoms:
Mn 0.000 0.000 0.000 [4 per cell]
Be 0.250 0.250 0.750 [4 per cell]
As 0.250 0.250 0.250 [4 per cell]

total DFT energy (no corrections) = -5.687 eV/atom
volume = 14.34 Å³/atom
DFT formation energy = 0.161 eV/atom
DOS at the Fermi energy = 0.72 states/eV/atom

Entry 2:
Entry from the Alexandria database: BaZrTl2Ru after structural relaxation (PBE).

Lattice parameters (Å, degrees): 5.332 5.332 5.433 90.00 90.00 90.00
Space group P4/mmm (No. 123)
One atom of each set of equivalent atoms:
Ba 0.000 0.000 0.000 [1 per cell]
Zr 0.500 0.500 0.000 [1 per cell]
Tl 0.000 0.500 0.500 [2 per cell]
Ru 0.000 0.000 0.500 [1 per cell]

total DFT energy (no corrections) = -4.095 eV/atom
volume = 30.89 Å³/atom
DFT formation energy = 0.801 eV/atom
DOS at the Fermi energy = 1.68 states/eV/atom

Entry 3:
Entry from the Alexandria database: AsRhAu4 after structural relaxation (PBE).

Lattice parameters (Å, degrees): 7.700 7.700 7.700 90.00 90.00 90.00
Space group F-43m (No. 216)
One atom of each set of equivalent atoms:
As 0.000 0.000 0.000 [4 per cell]
Rh 0.250 0.250 0.250 [4 per cell]
Au 0.125 0.125 0.625 [16 per cell]

total DFT energy (no corrections) = -3.734 eV/atom
volume = 19.02 Å³/atom
DFT formation energy = 0.451 eV/atom
DOS at the Fermi energy = 0.77 states/eV/atom

Entry 4:
Entry from the Alexandria database: SrU2O6 after structural relaxation (PBE).

Lattice parameters (Å, degrees): 3.912 5.522 11.206 90.00 90.00 90.00
Space group Immm (No. 71)
One atom of each set of equivalent atoms:
Sr 0.000 0.000 0.000 [2 per cell]
U 0.000 0.000 0.334 [4 per cell]
O 0.000 0.220 0.500 [4 per cell]
O 0.000 0.266 0.179 [8 per cell]

total DFT energy (no corrections) = -9.204 eV/atom
ΔE_f (raw) = -3203.2 meV per atom
volume = 13.45 Å³/atom
DOS at the Fermi energy = 1.12 states/eV/atom

Entry 5:
Entry from the Alexandria database: HoMg2Zr after structural relaxation (PBE).

Lattice parameters (Å, degrees): 3.2008 3.2008 33.4247 90.00 90.00 120.00
Space group R3m (No. 160, hexagonal axes)
One atom of each set of equivalent atoms:
Ho 0.0000 0.0000 0.0000 [3 per cell]
Mg 0.0000 0.0000 0.4195 [3 per cell]
Mg 0.0000 0.0000 0.5798 [3 per cell]
Zr 0.0000 0.0000 0.8330 [3 per cell]

total DFT energy (no corrections) = -3.970 eV/atom
volume = 24.71 Å³/atom
DFT formation energy = 0.108 eV/atom
DOS at the Fermi energy = 1.25 states/eV/atom

Entry 6:
Entry from the Alexandria database: Li2CoSb after structural relaxation (PBE).

Lattice parameters (Å, degrees): 3.717 3.824 4.262 90.00 90.00 90.00
Space group Pmmm (No. 47)
One atom of each set of equivalent atoms:
Li 0.000 0.000 0.000 [1 per cell]
Li 0.500 0.500 0.000 [1 per cell]
Co 0.000 0.500 0.500 [1 per cell]
Sb 0.500 0.000 0.500 [1 per cell]

total DFT energy (no corrections) = -3.903 eV/atom
ΔE_f (raw) = -139.3 meV per atom
volume = 15.14 Å³/atom
DOS at the Fermi energy = 0.88 states/eV/atom

Entry 7:
Entry from the Alexandria database: Cd6Pd12Au after structural relaxation (PBE).

Lattice parameters (Å, degrees): 11.1484 11.1484 9.2898 90.00 90.00 120.00
Space group R-3m (No. 166, hexagonal axes)
One atom of each set of equivalent atoms:
Cd 0.0887 0.1773 0.2463 [18 per cell]
Pd 0.0000 0.2601 0.5000 [18 per cell]
Pd 0.0674 0.5337 0.6198 [18 per cell]
Au 0.0000 0.0000 0.5000 [3 per cell]

total DFT energy (no corrections) = -3.918 eV/atom
volume = 17.54 Å³/atom
DFT formation energy = -0.177 eV/atom
DOS at the Fermi energy = 0.59 states/eV/atom

Entry 8:
Entry from the Alexandria database: LiHo2ScTl4 after structural relaxation (PBE).

Lattice parameters (Å, degrees): 5.1674 5.1674 25.8168 90.00 90.00 120.00
Space group R-3m (No. 166, hexagonal axes)
One atom of each set of equivalent atoms:
Li 0.0000 0.0000 0.0000 [3 per cell]
Ho 0.0000 0.0000 0.2530 [6 per cell]
Sc 0.0000 0.0000 0.5000 [3 per cell]
Tl 0.0000 0.0000 0.1247 [6 per cell]
Tl 0.0000 0.0000 0.3740 [6 per cell]

total DFT energy (no corrections) = -3.654 eV/atom
volume = 24.88 Å³/atom
DFT formation energy = -0.296 eV/atom
DOS at the Fermi energy = 0.63 states/eV/atom

Entry 9:
Entry from the Alexandria database: HoEr7Sc3 after structural relaxation (PBE).

Lattice parameters (Å, degrees): 5.646 10.552 11.004 90.00 90.00 90.00
Space group Immm (No. 71)
One atom of each set of equivalent atoms:
Ho 0.000 0.000 0.000 [2 per cell]
Er 0.000 0.191 0.296 [8 per cell]
Er 0.000 0.304 0.000 [4 per cell]
Er 0.000 0.500 0.500 [2 per cell]
Sc 0.000 0.000 0.500 [2 per cell]
Sc 0.000 0.500 0.213 [4 per cell]

total DFT energy (no corrections) = -4.767 eV/atom
volume = 29.80 Å³/atom
DFT formation energy = 0.280 eV/atom
DOS at the Fermi energy = 1.47 states/eV/atom

Entry 10:
Entry from the Alexandria database: InPH after structural relaxation (PBE).

Lattice parameters (Å, degrees): 7.181 4.178 7.251 90.00 90.00 90.00
Space group Pnma (No. 62)
One atom of each set of equivalent atoms:
In 0.048 0.250 0.181 [4 per cell]
P 0.241 0.250 0.838 [4 per cell]
H 0.122 0.750 0.486 [4 per cell]

total DFT energy (no corrections) = -3.725 eV/atom
volume = 18.13 Å³/atom
DOS at the Fermi energy = 0.21 states/eV/atom

Entry 11:
Entry from the Alexandria database: ReW2NCl after structural relaxation (PBE).

Lattice parameters (Å, degrees): 4.870 4.870 4.624 90.00 90.00 90.00
Space group P4/mmm (No. 123)
One atom of each set of equivalent atoms:
Re 0.000 0.000 0.000 [1 per cell]
W 0.000 0.500 0.000 [2 per cell]
N 0.500 0.500 0.500 [1 per cell]
Cl 0.000 0.000 0.500 [1 per cell]

total DFT energy (no corrections) = -6.874 eV/atom
ΔE_f (raw) = 2831.4 meV per atom
volume = 21.93 Å³/atom
DOS at the Fermi energy = 0.79 states/eV/atom

Entry 12:
Entry from the Alexandria database: BaMg2Ge after structural relaxation (PBE).

Lattice parameters (Å, degrees): 7.547 7.547 7.547 90.00 90.00 90.00
Space group Fm-3m (No. 225)
One atom of each set of equivalent atoms:
Ba 0.000 0.000 0.000 [4 per cell]
Mg 0.250 0.250 0.250 [8 per cell]
Ge 0.000 0.000 0.500 [4 per cell]

total DFT energy (no corrections) = -2.451 eV/atom
volume = 26.87 Å³/atom
DFT formation energy = -0.019 eV/atom
DOS at the Fermi energy = 0.51 states/eV/atom